Sm5Dy: relaxed, PBE.

Geometry as POSCAR:
```
Sm5Dy
1.0
5.107 0.000 0.000
0.000 15.346 0.000
0.000 0.000 5.109
Sm Dy
10 2
Direct
0.000 0.000 0.000 Sm
0.000 0.166 0.500 Sm
0.000 0.334 0.000 Sm
0.000 0.666 0.000 Sm
0.000 0.834 0.500 Sm
0.500 0.166 0.000 Sm
0.500 0.334 0.500 Sm
0.500 0.500 0.000 Sm
0.500 0.666 0.500 Sm
0.500 0.834 0.000 Sm
0.000 0.500 0.500 Dy
0.500 0.000 0.500 Dy
```

Calculated values
V: 400.3 Å³/cell
E_tot: -4.684 eV per atom
Mass density: 7585 kg/m³
D(E_F): 8.47 states/eV/f.u.
Magnetic moment: 0.0 μB per cell
Space group: No. 65
ΔH_f (0 K): 0.015 eV/atom